1.
## NdSm5S6 (PBE)

Data for a relaxed NdSm5S6 crystal.

abc: 6.9585 12.0919 6.9521
angles: 90.00 109.72 90.00
Closest atoms and distances in Å follow each position.
Space group C2/m (No. 12)
Symmetry-distinct sites (fractional):
Nd (0.0000, 0.0000, 0.0000)  6 S 2.87
Sm (0.0000, 0.1652, 0.5000)  6 S 2.83-2.84
Sm (0.0000, 0.3337, 0.0000)  6 S 2.83-2.84
Sm (0.0000, 0.5000, 0.5000)  6 S 2.82-2.84
S (0.2472, 0.5000, 0.2511)  5 Sm 2.82-2.83, 1 Nd 2.87
S (0.2477, 0.3317, 0.7478)  5 Sm 2.83-2.84, 1 Nd 2.87

Values from the calculation:
The calculation puts the formation energy from raw total energies at -24.3 eV per formula unit. As for the total moment: 0.0 μB/f.u. The value obtained for the uncorrected energy is -6.455 eV per atom.

=====

2.
## Ca2Ga4CuPd3 (PBE)

Data for a relaxed Ca2Ga4CuPd3 crystal.

abc: 4.3686 4.3686 10.1124
angles: 90.00 90.00 90.00
Closest atoms and distances in Å follow each position.
Space group P-4m2 (No. 115)
Symmetry-distinct sites (fractional):
Ca (0.0000, 0.5000, 0.2431)  2 Cu 3.29, 6 Pd 3.29-3.33, 9 Ga 3.33-3.68
Ga (0.0000, 0.0000, 0.5000)  4 Pd 2.56
Ga (0.0000, 0.5000, 0.8792)  3 Pd 2.49-2.50, 2 Cu 2.50
Ga (0.5000, 0.5000, 0.5000)  4 Pd 2.56
Cu (0.5000, 0.5000, 0.0000)  4 Ga 2.50
Pd (0.0000, 0.0000, 0.0000)  4 Ga 2.50
Pd (0.0000, 0.5000, 0.6327)  5 Ga 2.49-2.56

Values from the calculation:
As for the total moment: 0.0 μB/f.u. The value obtained for the uncorrected energy is -4.200 eV per atom. The energy relative to the elements is -0.62 eV/atom.

=====

3.
## Sm3Ho2PaP6 (PBE)

Data for a relaxed Sm3Ho2PaP6 crystal.

abc: 6.9853 12.1001 7.0069
angles: 90.00 109.37 90.00
Closest atoms and distances in Å follow each position.
Space group C2/m (No. 12)
Symmetry-distinct sites (fractional):
Sm (0.0000, 0.0000, 0.0000)  6 P 2.88-2.93
Sm (0.0000, 0.3319, 0.0000)  6 P 2.88-2.91
Ho (0.0000, 0.1663, 0.5000)  6 P 2.83
Pa (0.0000, 0.5000, 0.5000)  6 P 2.78-2.79
P (0.2439, 0.3359, 0.7398)  1 Pa 2.79, 2 Ho 2.83, 3 Sm 2.88-2.91
P (0.2480, 0.5000, 0.2608)  1 Pa 2.78, 2 Ho 2.83, 3 Sm 2.89-2.93

Values from the calculation:
As for the total moment: 0.0 μB/f.u. The value obtained for the uncorrected energy is -7.003 eV per atom. The energy relative to the elements is -1.56 eV/atom.

=====

4.
## La2AlSb4 (PBE)

Data for a relaxed La2AlSb4 crystal.

abc: 4.4239 4.4239 10.6337
angles: 90.00 90.00 90.00
Closest atoms and distances in Å follow each position.
Space group P-4m2 (No. 115)
Symmetry-distinct sites (fractional):
La (0.0000, 0.5000, 0.2382)  8 Sb 3.34-3.36, 2 Al 3.56
Al (0.0000, 0.0000, 0.5000)  4 Sb 2.74
Sb (0.0000, 0.0000, 0.0000)  4 Sb 3.13, 4 La 3.36
Sb (0.0000, 0.5000, 0.6521)  2 Al 2.74
Sb (0.5000, 0.5000, 0.0000)  4 Sb 3.13, 4 La 3.36

Values from the calculation:
The calculation puts the formation energy from raw total energies at -5.4 eV per formula unit. As for the total moment: 0.0 μB/f.u. The value obtained for the uncorrected energy is -5.072 eV per atom.

=====

5.
## YSe2Cl (PBE)

Data for a relaxed YSe2Cl crystal.

abc: 3.9213 4.8771 14.1725
angles: 90.00 90.00 90.00
Closest atoms and distances in Å follow each position.
Space group Imm2 (No. 44)
Symmetry-distinct sites (fractional):
Y (0.0000, 0.0000, 0.0000)  2 Cl 2.71, 2 Se 2.78
Se (0.0000, 0.0000, 0.4318)  2 Se 2.63
Se (0.0000, 0.5000, 0.3614)  2 Se 2.63, 2 Y 2.78
Cl (0.0000, 0.5000, 0.6315)  2 Y 2.71

Values from the calculation:
The calculation puts the formation energy from raw total energies at -5.2 eV per formula unit. As for the total moment: 0.0 μB/f.u. Its polymorph energy (0 for the lowest one) is 0.107 eV/atom. The value obtained for the uncorrected energy is -5.115 eV per atom.

=====

6.
## RbCaV2Ni (PBE)

Data for a relaxed RbCaV2Ni crystal.

abc: 4.4971 4.4971 5.2495
angles: 90.00 90.00 90.00
Closest atoms and distances in Å follow each position.
Space group P4/mmm (No. 123)
Symmetry-distinct sites (fractional):
Rb (0.0000, 0.0000, 0.0000)  4 V 2.25
Ca (0.0000, 0.0000, 0.5000)  2 Rb 2.62
V (0.0000, 0.5000, 0.0000)  2 Rb 2.25
Ni (0.5000, 0.5000, 0.5000)  4 Ca 3.18, 8 V 3.46

Values from the calculation:
As for the total moment: 3.1 μB/f.u. The value obtained for the uncorrected energy is -2.956 eV per atom. The energy relative to the elements is 2.44 eV/atom.

=====

7.
## SrTl2InI6 (PBE)

Data for a relaxed SrTl2InI6 crystal.

abc: 8.5780 8.5870 8.8849
angles: 61.14 61.14 60.04
Closest atoms and distances in Å follow each position.
Space group P1 (No. 1)
Symmetry-distinct sites (fractional):
Sr (0.0000, 0.0000, 0.0000)  6 I 3.28-3.34
Tl (0.2024, 0.2012, 0.3941)  6 I 3.53-3.58
Tl (0.7016, 0.7010, 0.8952)  6 I 3.53-3.55
In (0.5001, 0.5001, 0.4991)  6 I 3.16-3.21
I (0.1430, 0.7637, 0.7225)  1 In 3.16, 1 Sr 3.34
I (0.2767, 0.6322, 0.2304)  1 In 3.21, 1 Sr 3.28, 2 Tl 3.53
I (0.3712, 0.1427, 0.7228)  1 In 3.16, 1 Sr 3.33
I (0.6327, 0.8595, 0.2297)  1 In 3.21, 1 Sr 3.28, 2 Tl 3.53
I (0.7642, 0.3705, 0.7221)  1 In 3.16, 1 Sr 3.33
I (0.8598, 0.2777, 0.2297)  1 In 3.21, 1 Sr 3.28, 2 Tl 3.53

Values from the calculation:
The calculation puts the formation energy from raw total energies at -8.6 eV per formula unit. As for the total moment: 0.0 μB/f.u. The value obtained for the uncorrected energy is -2.703 eV per atom.

=====

8.
## CaZnTc2 (PBE)

Data for a relaxed CaZnTc2 crystal.

abc: 5.5282 9.5376 2.6811
angles: 90.00 108.75 90.00
Closest atoms and distances in Å follow each position.
Space group C2/m (No. 12)
Symmetry-distinct sites (fractional):
Ca (0.0000, 0.0000, 0.0000)  2 Ca 2.68, 2 Zn 2.76, 4 Tc 2.86
Zn (0.0000, 0.5000, 0.0000)  2 Zn 2.68, 2 Ca 2.76, 4 Tc 2.86
Tc (0.2500, 0.2500, 0.5000)  4 Tc 2.68-2.76, 2 Ca 2.86, 2 Zn 2.86

Values from the calculation:
As for the total moment: 0.0 μB/f.u. The value obtained for the uncorrected energy is -5.531 eV per atom. The energy relative to the elements is 0.47 eV/atom.

=====

9.
## AlNiMo2 (PBE)

Data for a relaxed AlNiMo2 crystal.

abc: 2.7555 2.7555 26.6503
angles: 90.00 90.00 120.00
Closest atoms and distances in Å follow each position.
Space group R-3m (No. 166, hexagonal axes)
Symmetry-distinct sites (fractional):
Al (0.0000, 0.0000, 0.0000)  6 Al 2.76, 6 Mo 2.80
Ni (0.0000, 0.0000, 0.5000)  6 Mo 2.66, 6 Ni 2.76
Mo (0.0000, 0.0000, 0.2468)  3 Ni 2.66, 6 Mo 2.76, 3 Al 2.80

Values from the calculation:
As for the total moment: 0.0 μB/f.u. The value obtained for the uncorrected energy is -7.692 eV per atom. The energy relative to the elements is 0.10 eV/atom.

=====

10.
## H2BrF (PBE)

Data for a relaxed H2BrF crystal.

abc: 5.3645 5.3645 5.3645
angles: 90.00 90.00 90.00
Closest atoms and distances in Å follow each position.
Space group Fm-3m (No. 225)
Symmetry-distinct sites (fractional):
H (0.2500, 0.2500, 0.2500)  4 F 2.32, 4 Br 2.32
Br (0.0000, 0.0000, 0.0000)  8 H 2.32
F (0.0000, 0.0000, 0.5000)  8 H 2.32

Values from the calculation:
As for the total moment: 0.0 μB/f.u. Its polymorph energy (0 for the lowest one) is 1.608 eV/atom. The value obtained for the uncorrected energy is -1.842 eV per atom.

=====

11.
## RbVAsSe2 (PBE)

Data for a relaxed RbVAsSe2 crystal.

abc: 5.0006 5.0006 4.8890
angles: 90.00 90.00 90.00
Closest atoms and distances in Å follow each position.
Space group P4/mmm (No. 123)
Symmetry-distinct sites (fractional):
Rb (0.0000, 0.0000, 0.0000)  8 Se 3.50, 4 As 3.54
V (0.5000, 0.5000, 0.5000)  2 As 2.44, 4 Se 2.50
As (0.5000, 0.5000, 0.0000)  2 V 2.44
Se (0.0000, 0.5000, 0.5000)  2 V 2.50

Values from the calculation:
The calculation puts the formation energy from raw total energies at -2.0 eV per formula unit. As for the total moment: 0.0 μB/f.u. Its polymorph energy (0 for the lowest one) is 0.000 eV/atom. The value obtained for the uncorrected energy is -4.732 eV per atom.

=====

12.
## BaEuPbAu (PBE)

Data for a relaxed BaEuPbAu crystal.

abc: 8.0822 8.0822 8.0822
angles: 90.00 90.00 90.00
Closest atoms and distances in Å follow each position.
Space group F-43m (No. 216)
Symmetry-distinct sites (fractional):
Ba (0.0000, 0.0000, 0.0000)  4 Au 3.50, 4 Pb 3.50
Eu (0.0000, 0.0000, 0.5000)  4 Pb 3.50, 4 Au 3.50
Pb (0.2500, 0.2500, 0.2500)  4 Ba 3.50, 4 Eu 3.50
Au (0.2500, 0.2500, 0.7500)  4 Ba 3.50, 4 Eu 3.50

Values from the calculation:
As for the total moment: 6.9 μB/f.u. The value obtained for the uncorrected energy is -5.357 eV per atom. The energy relative to the elements is -0.56 eV/atom.

=====

13.
## Sr2MgGaO (PBE)

Data for a relaxed Sr2MgGaO crystal.

abc: 5.2886 5.2886 4.2298
angles: 90.00 90.00 90.00
Closest atoms and distances in Å follow each position.
Space group P4/mmm (No. 123)
Symmetry-distinct sites (fractional):
Sr (0.0000, 0.5000, 0.0000)  2 O 2.64
Mg (0.0000, 0.0000, 0.5000)  2 O 2.11
Ga (0.5000, 0.5000, 0.5000)  8 Sr 3.39, 4 Mg 3.74
O (0.0000, 0.0000, 0.0000)  2 Mg 2.11

Values from the calculation:
The calculation puts the formation energy from raw total energies at -5.7 eV per formula unit. As for the total moment: 0.0 μB/f.u. Its polymorph energy (0 for the lowest one) is 0.000 eV/atom. The value obtained for the uncorrected energy is -3.736 eV per atom.

=====

14.
## CaMg2Ta (PBE)

Data for a relaxed CaMg2Ta crystal.

abc: 6.6330 9.0754 3.0016
angles: 90.00 90.00 90.00
Closest atoms and distances in Å follow each position.
Space group Cmmm (No. 65)
Symmetry-distinct sites (fractional):
Ca (0.0000, 0.0000, 0.0000)  2 Ca 3.00, 8 Mg 3.19, 2 Ta 3.32
Mg (0.2500, 0.2500, 0.5000)  4 Mg 3.00-3.32, 4 Ta 3.19, 4 Ca 3.19
Ta (0.0000, 0.5000, 0.0000)  2 Ta 3.00, 8 Mg 3.19, 2 Ca 3.32

Values from the calculation:
As for the total moment: 0.0 μB/f.u. The value obtained for the uncorrected energy is -3.839 eV per atom. The energy relative to the elements is 0.42 eV/atom.

=====

15.
## YInFe (PBE)

Data for a relaxed YInFe crystal.

abc: 6.8666 6.8666 6.8666
angles: 90.00 90.00 90.00
Closest atoms and distances in Å follow each position.
Space group F-43m (No. 216)
Symmetry-distinct sites (fractional):
Y (0.0000, 0.0000, 0.0000)  4 In 2.97, 4 Fe 2.97
In (0.2500, 0.2500, 0.7500)  4 Y 2.97
Fe (0.2500, 0.2500, 0.2500)  4 Y 2.97

Values from the calculation:
As for the total moment: 2.3 μB/f.u. The value obtained for the uncorrected energy is -5.140 eV per atom. The energy relative to the elements is 0.75 eV/atom.

=====

16.
## NaInSnTe3 (PBE)

Data for a relaxed NaInSnTe3 crystal.

abc: 9.0856 4.5801 11.9928
angles: 90.00 108.50 90.00
Closest atoms and distances in Å follow each position.
Space group P2_1/m (No. 11)
Symmetry-distinct sites (fractional):
Na (0.2039, 0.2500, 0.1475)  5 Te 3.19-3.33
In (0.0643, 0.2500, 0.6306)  4 Te 2.76-2.92
Sn (0.3278, 0.7500, 0.8834)  3 Te 2.95-3.15
Te (0.0472, 0.2500, 0.8562)  1 In 2.76
Te (0.2208, 0.7500, 0.5693)  3 In 2.91-2.92
Te (0.4468, 0.7500, 0.1428)  3 Sn 2.95-3.15, 2 Na 3.19

Values from the calculation:
The calculation puts the formation energy from raw total energies at -2.7 eV per formula unit. As for the total moment: 0.0 μB/f.u. The value obtained for the uncorrected energy is -3.360 eV per atom.

=====

17.
## TbSmY5Sc2 (PBE)

Data for a relaxed TbSmY5Sc2 crystal.

abc: 5.6276 21.4235 9.3995
angles: 90.00 90.00 90.00
Closest atoms and distances in Å follow each position.
Space group Cmc2_1 (No. 36)
Symmetry-distinct sites (fractional):
Tb (0.0000, 0.0977, 0.0000)  3 Y 3.05-3.41
Sm (0.0000, 0.3156, 0.6011)  2 Sc 3.16-3.25, 5 Y 3.37-3.47, 2 Tb 3.50
Y (0.0000, 0.0308, 0.3296)  2 Tb 3.19-3.41, 2 Y 3.28-3.50, 2 Sc 3.40
Y (0.0000, 0.1113, 0.6267)  4 Sc 3.22-3.49, 3 Y 3.28-3.59, 1 Tb 3.52
Y (0.0000, 0.1934, 0.2978)  2 Sm 3.37, 5 Y 3.39-3.68, 3 Sc 3.45-3.66, 1 Tb 3.47
Y (0.0000, 0.2355, 0.9181)  1 Tb 3.05, 1 Sc 3.25, 2 Y 3.39
Y (0.0000, 0.4902, 0.5970)  1 Sc 3.18, 2 Tb 3.51
Sc (0.0000, 0.3644, 0.2839)  1 Sm 3.16, 2 Y 3.22
Sc (0.0000, 0.3870, 0.9062)  8 Y 3.18-3.49, 1 Sm 3.25

Values from the calculation:
As for the total moment: 0.0 μB/f.u. The value obtained for the uncorrected energy is -5.870 eV per atom. The energy relative to the elements is 0.17 eV/atom.

=====

18.
## Ce5Pu3Sb8 (PBE)

Data for a relaxed Ce5Pu3Sb8 crystal.

abc: 8.9590 8.9590 21.8333
angles: 90.00 90.00 120.00
Closest atoms and distances in Å follow each position.
Space group R-3m (No. 166, hexagonal axes)
Symmetry-distinct sites (fractional):
Ce (0.0000, 0.0000, 0.0000)  6 Sb 3.16
Ce (0.0000, 0.0000, 0.5000)  6 Sb 3.16
Ce (0.0000, 0.5000, 0.0000)  6 Sb 3.17-3.18
Pu (0.0000, 0.5000, 0.5000)  6 Sb 3.15
Sb (0.0000, 0.0000, 0.2488)  3 Pu 3.15, 3 Ce 3.18
Sb (0.0012, 0.5006, 0.7507)  2 Pu 3.15, 4 Ce 3.16-3.17

Values from the calculation:
The calculation puts the formation energy from raw total energies at -14.1 eV per formula unit. As for the total moment: 19.7 μB/f.u. The value obtained for the uncorrected energy is -7.487 eV per atom.

=====

19.
## CdPd3Cl (PBE)

Data for a relaxed CdPd3Cl crystal.

abc: 5.0538 5.0538 5.0538
angles: 90.00 90.00 90.00
Closest atoms and distances in Å follow each position.
Space group Pm-3m (No. 221)
Symmetry-distinct sites (fractional):
Cd (0.0000, 0.0000, 0.0000)  6 Pd 2.53
Pd (0.0000, 0.0000, 0.5000)  2 Cd 2.53
Cl (0.5000, 0.5000, 0.5000)  12 Pd 3.57

Values from the calculation:
The calculation puts the formation energy from raw total energies at 4.2 eV per formula unit. As for the total moment: 0.0 μB/f.u. Its polymorph energy (0 for the lowest one) is 0.563 eV/atom. The value obtained for the uncorrected energy is -2.820 eV per atom.

=====

20.
## NpPaSN2 (PBE)

Data for a relaxed NpPaSN2 crystal.

abc: 3.8032 3.8032 11.8524
angles: 90.00 90.00 90.00
Closest atoms and distances in Å follow each position.
Space group I4mm (No. 107)
Symmetry-distinct sites (fractional):
Np (0.0000, 0.0000, 0.0000)  4 N 2.28
Pa (0.0000, 0.0000, 0.7022)  4 N 2.21
S (0.0000, 0.0000, 0.3520)  4 Np 3.21, 4 Pa 3.22, 8 N 3.47-3.57
N (0.0000, 0.5000, 0.1067)  2 Pa 2.21, 2 Np 2.28

Values from the calculation:
The calculation puts the formation energy from raw total energies at -7.5 eV per formula unit. As for the total moment: 4.0 μB/f.u. The value obtained for the uncorrected energy is -10.136 eV per atom.